A | This record from Alexandria via LeMat-Bulk describes a geometry-optimized Li3Rh2 structure. The functional is PBE.

The structure belongs to space group R-3m (No. 166, hexagonal axes); the cell edges are 2.7019, 2.7019 and 33.4914 Å and the angles 90.00°, 90.00° and 120.00°. Symmetry generates all atoms from Li at (0.0000, 0.0000, 0.0000), Li at (0.0000, 0.0000, 0.2065) and Rh at (0.0000, 0.0000, 0.3979).

For the calculated volume, the calculation gives 212 Å³/cell.

B | This record from Alexandria via LeMat-Bulk describes a geometry-optimized Li3Rh2 structure. The functional is PBE.

The structure belongs to space group C2/m (No. 12); the cell edges are 8.938, 2.738 and 6.558 Å and the angles 90.00°, 123.50° and 90.00°. Symmetry generates all atoms from Li at (0.000, 0.000, 0.000), Li at (0.105, 0.500, 0.402) and Rh at (0.187, 0.000, 0.801).

For the calculated volume, the calculation gives 134 Å³/cell.

C | This record from Alexandria via LeMat-Bulk describes a geometry-optimized Li3Rh2 structure. The functional is PBE.

The structure belongs to space group R-3m (No. 166, hexagonal axes); the cell edges are 4.7879, 4.7879 and 10.3614 Å and the angles 90.00°, 90.00° and 120.00°. Symmetry generates all atoms from Li at (0.0000, 0.5000, 0.0000) and Rh at (0.0000, 0.0000, 0.1275).

For the calculated volume, the calculation gives 206 Å³/cell.

Name the most stable of them. A.

A | This record from Alexandria via LeMat-Bulk describes a geometry-optimized LiRh4 structure. The functional is PBE.

The structure belongs to space group I4/m (No. 87); the cell edges are 6.018, 6.018 and 3.785 Å and the angles 90.00°, 90.00° and 90.00°. Symmetry generates all atoms from Li at (0.000, 0.000, 0.000) and Rh at (0.103, 0.301, 0.500).

For the calculated volume, the calculation gives 137 Å³/cell.

B | This record from Alexandria via LeMat-Bulk describes a geometry-optimized LiRh4 structure. The functional is PBE.

The structure belongs to space group Pm-3m (No. 221); the cell edges are 4.091, 4.091 and 4.091 Å and the angles 90.00°, 90.00° and 90.00°. Symmetry generates all atoms from Li at (0.000, 0.000, 0.000), Rh at (0.000, 0.000, 0.500) and Rh at (0.500, 0.500, 0.500).

For the calculated volume, the calculation gives 68 Å³/cell.

Name the most stable of them. A.

A | This record from Alexandria via LeMat-Bulk describes a geometry-optimized Li7Rh structure. The functional is PBE.

The structure belongs to space group Fm-3m (No. 225); the cell edges are 7.930, 7.930 and 7.930 Å and the angles 90.00°, 90.00° and 90.00°. Symmetry generates all atoms from Li at (0.000, 0.000, 0.000), Li at (0.000, 0.250, 0.250) and Rh at (0.000, 0.000, 0.500).

For the calculated volume, the calculation gives 499 Å³/cell.

B | This record from Alexandria via LeMat-Bulk describes a geometry-optimized Li7Rh structure. The functional is PBE.

The structure belongs to space group I4/mmm (No. 139); the cell edges are 4.496, 4.496 and 12.905 Å and the angles 90.00°, 90.00° and 90.00°. Symmetry generates all atoms from Li at (0.000, 0.000, 0.000), Li at (0.000, 0.000, 0.268), Li at (0.000, 0.500, 0.108) and Rh at (0.000, 0.000, 0.500).

For the calculated volume, the calculation gives 261 Å³/cell.

Name the most stable of them. B.